VASP calculation (GGA-PBE) on a relaxed structure of Ca8PN2.

Cell lengths 6.350, 7.813, 7.813 Å; angles 80.16, 92.86, 92.86 degrees
Sites, in units of the cell vectors:
Ca  0.253  0.051  0.708
Ca  0.253  0.708  0.051
Ca  0.747  0.949  0.292
Ca  0.269  0.611  0.611
Ca  0.747  0.292  0.949
Ca  0.264  0.201  0.201
Ca  0.736  0.799  0.799
Ca  0.731  0.389  0.389
P  0.000  0.000  0.000
N  0.613  0.212  0.212
N  0.387  0.788  0.788

Computed properties:
The formation energy (no corrections) comes out at -5.805 eV per formula unit. The crystal system is monoclinic. Its symmetry is C2/m (12).

***

VASP calculation (GGA-PBE) on a relaxed structure of Ca2PN4.

Cell lengths 3.685, 3.685, 6.436 Å; angles 73.36, 73.36, 90.00 degrees
Sites, in units of the cell vectors:
P  0.000  0.000  0.000
Ca  0.353  0.353  0.294
Ca  0.647  0.647  0.706
N  0.146  0.146  0.708
N  0.854  0.854  0.292
N  0.000  0.500  0.000
N  0.500  0.000  0.000

Computed properties:
The formation energy (no corrections) comes out at -1.264 eV per formula unit. The crystal system is tetragonal. Its symmetry is I4/mmm (139).

***

VASP calculation (GGA-PBE) on a relaxed structure of CaPaPN.

Cell lengths 3.771, 3.771, 6.613 Å; angles 73.43, 73.43, 60.00 degrees
Sites, in units of the cell vectors:
Ca  0.505  0.505  0.485
Pa  0.986  0.986  0.043
P  0.744  0.744  0.769
N  0.266  0.266  0.203

Computed properties:
The formation energy (no corrections) comes out at -5.093 eV per formula unit. The crystal system is trigonal. Its symmetry is R3m (160).

***

| no. | magnetic moment (μB per formula unit) |
| --- | --- |
| 1 | 0.27 |
| 2 | 0.03 |
| 3 | 0.00 |